Record 1
Density functional theory data (GGA-PBE) for a geometry-optimized Sc6FeRu5 structure.

Computed properties:
Total magnetization: 2.44 μB per formula unit
ΔE_f: -0.463 eV/atom
ρ: 6.92 g/cm³
E_tot: -98.4 eV per cell

abc: 4.532 6.455 7.873
angles: 114.20 106.73 90.00
Last column: magnetic moment on the atom in μB.
Fractional coordinates of all 12 atoms:
Sc: 0.831 0.577 0.662  -0.04
Sc: 0.831 0.084 0.662  -0.04
Sc: 0.500 0.744 0.000  -0.07
Sc: 0.500 0.256 0.000  -0.07
Sc: 0.169 0.916 0.338  -0.04
Sc: 0.169 0.423 0.338  -0.04
Ru: 0.661 0.161 0.323  0.18
Ru: 0.333 0.333 0.665  0.05
Ru: 0.000 0.500 0.000  0.08
Ru: 0.667 0.667 0.335  0.05
Ru: 0.339 0.839 0.677  0.18
Fe: 0.000 0.000 0.000  2.23

---

Record 2
Density functional theory data (GGA-PBE) for a geometry-optimized ScFe2Ru structure.

Computed properties:
Total magnetization: 4.71 μB per formula unit
ΔE_f: -0.028 eV/atom
ρ: 7.51 g/cm³
E_tot: -32.6 eV per cell

abc: 5.040 5.040 4.321
angles: 64.68 64.68 35.53
Last column: magnetic moment on the atom in μB.
Fractional coordinates of all 4 atoms:
Fe: 0.018 0.018 0.982  2.56
Fe: 0.746 0.746 0.754  2.05
Ru: 0.486 0.486 0.514  0.51
Sc: 0.250 0.250 0.250  -0.30

---

Record 3
Density functional theory data (GGA-PBE) for a geometry-optimized ScFeRu2 structure.

Computed properties:
Total magnetization: 3.14 μB per formula unit
ΔE_f: -0.016 eV/atom
ρ: 8.33 g/cm³
E_tot: -33.4 eV per cell

abc: 4.772 4.772 4.756
angles: 72.31 72.31 36.03
Last column: magnetic moment on the atom in μB.
Fractional coordinates of all 4 atoms:
Fe: 0.250 0.250 0.250  2.47
Ru: 0.981 0.981 0.034  0.38
Ru: 0.519 0.519 0.466  0.38
Sc: 0.750 0.750 0.750  -0.11

---

Record 4
Density functional theory data (GGA-PBE) for a geometry-optimized ScFe2Ru structure.

Computed properties:
Total magnetization: 0.00 μB per formula unit
ΔE_f: 0.046 eV/atom
ρ: 7.09 g/cm³
E_tot: -64.7 eV per cell

abc: 3.790 3.858 8.378
angles: 90.00 99.62 90.00
Fractional coordinates of all 8 atoms:
Sc: 0.425 0.250 0.294
Sc: 0.575 0.750 0.706
Fe: 0.686 0.250 0.998
Fe: 0.314 0.750 0.002
Fe: 0.113 0.250 0.864
Fe: 0.887 0.750 0.136
Ru: 0.028 0.250 0.591
Ru: 0.972 0.750 0.409

---

Record 5
Density functional theory data (GGA-PBE) for a geometry-optimized ScFe2Ru structure.

Computed properties:
Total magnetization: 4.50 μB per formula unit
ΔE_f: 0.034 eV/atom
ρ: 7.56 g/cm³
E_tot: -32.4 eV per cell

abc: 4.946 4.946 2.739
angles: 80.80 80.80 117.36
Last column: magnetic moment on the atom in μB.
Fractional coordinates of all 4 atoms:
Fe: 0.000 0.000 0.000  2.35
Fe: 0.500 0.500 0.000  2.35
Ru: 0.500 0.000 0.500  0.32
Sc: 0.000 0.500 0.500  -0.37

---

Record 6
Density functional theory data (GGA-PBE) for a geometry-optimized ScFeRu3 structure.

Computed properties:
Total magnetization: 0.00 μB per formula unit
ΔE_f: 0.734 eV/atom
ρ: 7.77 g/cm³
Energy relative to the lowest polymorph listed for this composition: 0.000 eV per atom
E_tot: -39.0 eV per cell

abc: 4.419 4.419 4.419
angles: 90.00 90.00 90.00
Fractional coordinates of all 5 atoms:
Sc: 0.500 0.500 0.500
Ru: 0.000 0.500 0.000
Ru: 0.000 0.000 0.500
Ru: 0.500 0.000 0.000
Fe: 0.000 0.000 0.000

---

Record 7
Density functional theory data (GGA-PBE) for a geometry-optimized ScFe2Ru structure.

Computed properties:
Total magnetization: 5.07 μB per formula unit
ΔE_f: -0.158 eV/atom
ρ: 7.48 g/cm³
E_tot: -132.7 eV per cell

abc: 3.148 4.210 17.257
angles: 90.00 90.00 90.00
Last column: magnetic moment on the atom in μB.
Fractional coordinates of all 16 atoms:
Sc: 0.000 0.250 0.067  -0.09
Sc: 0.000 0.750 0.933  -0.09
Sc: 0.500 0.750 0.567  -0.09
Sc: 0.500 0.250 0.433  -0.09
Fe: 0.000 0.250 0.806  2.62
Fe: 0.000 0.750 0.194  2.62
Fe: 0.500 0.750 0.306  2.62
Fe: 0.500 0.250 0.694  2.62
Fe: 0.000 0.250 0.301  2.44
Fe: 0.000 0.750 0.699  2.44
Fe: 0.500 0.750 0.801  2.44
Fe: 0.500 0.250 0.199  2.44
Ru: 0.000 0.250 0.573  0.15
Ru: 0.000 0.750 0.427  0.15
Ru: 0.500 0.750 0.073  0.15
Ru: 0.500 0.250 0.927  0.15

---

Record 8
Density functional theory data (GGA-PBE) for a geometry-optimized ScFe2Ru structure.

Computed properties:
Total magnetization: 1.83 μB per formula unit
ΔE_f: -0.004 eV/atom
ρ: 7.03 g/cm³
E_tot: -130.2 eV per cell

abc: 3.909 4.515 13.791
angles: 90.00 90.00 90.00
Last column: magnetic moment on the atom in μB.
Fractional coordinates of all 16 atoms:
Sc: 0.000 0.000 0.647  -0.03
Sc: 0.000 0.500 0.147  -0.03
Sc: 0.500 0.000 0.841  -0.08
Sc: 0.500 0.500 0.341  -0.08
Fe: 0.500 0.000 0.475  1.69
Fe: 0.500 0.500 0.975  1.69
Fe: 0.000 0.764 0.973  1.16
Fe: 0.000 0.236 0.973  1.16
Fe: 0.000 0.264 0.473  1.16
Fe: 0.000 0.736 0.473  1.16
Fe: 0.500 0.000 0.049  -0.39
Fe: 0.500 0.500 0.549  -0.39
Ru: 0.500 0.000 0.209  0.02
Ru: 0.500 0.500 0.709  0.02
Ru: 0.000 0.000 0.317  0.14
Ru: 0.000 0.500 0.817  0.14

---

Record 9
Density functional theory data (GGA-PBE) for a geometry-optimized ScFe2Ru structure.

Computed properties:
Total magnetization: 4.55 μB per formula unit
ΔE_f: -0.062 eV/atom
ρ: 7.07 g/cm³
E_tot: -131.1 eV per cell

abc: 7.601 4.120 9.216
angles: 90.00 123.00 90.00
Last column: magnetic moment on the atom in μB.
Fractional coordinates of all 16 atoms:
Sc: 0.223 0.000 0.067  -0.23
Sc: 0.223 0.500 0.567  -0.23
Sc: 0.644 0.000 0.690  -0.15
Sc: 0.644 0.500 0.190  -0.15
Fe: 0.034 0.000 0.696  2.25
Fe: 0.034 0.500 0.196  2.25
Fe: 0.225 0.000 0.352  2.15
Fe: 0.225 0.500 0.852  2.15
Fe: 0.937 0.000 0.376  2.25
Fe: 0.937 0.500 0.876  2.25
Fe: 0.848 0.000 0.070  2.40
Fe: 0.848 0.500 0.570  2.40
Ru: 0.426 0.000 0.881  0.28
Ru: 0.426 0.500 0.381  0.28
Ru: 0.632 0.000 0.401  0.29
Ru: 0.632 0.500 0.901  0.29

---

Record 10
Density functional theory data (GGA-PBE) for a geometry-optimized ScFe2Ru structure.

Computed properties:
Total magnetization: 4.49 μB per formula unit
ΔE_f: 0.030 eV/atom
ρ: 7.51 g/cm³
E_tot: -32.4 eV per cell

abc: 4.191 2.767 4.996
angles: 79.46 90.00 90.00
Last column: magnetic moment on the atom in μB.
Fractional coordinates of all 4 atoms:
Fe: 0.000 0.049 0.018  2.26
Fe: 0.500 0.230 0.247  2.32
Ru: 0.000 0.477 0.479  0.34
Sc: 0.500 0.744 0.755  -0.31

---

Record 11
Density functional theory data (GGA-PBE) for a geometry-optimized ScFeRu2 structure.

Computed properties:
Total magnetization: 2.50 μB per formula unit
ΔE_f: -0.011 eV/atom
ρ: 8.48 g/cm³
E_tot: -33.4 eV per cell

abc: 4.952 4.952 4.952
angles: 135.24 135.24 65.16
Last column: magnetic moment on the atom in μB.
Fractional coordinates of all 4 atoms:
Fe: 0.750 0.250 0.500  2.44
Ru: 0.000 0.000 0.000  -0.07
Ru: 0.250 0.750 0.500  0.15
Sc: 0.500 0.500 0.000  -0.05

---

Record 12
Density functional theory data (GGA-PBE) for a geometry-optimized ScFeRu2 structure.

Computed properties:
Total magnetization: 0.00 μB per formula unit
ΔE_f: 0.277 eV/atom
ρ: 7.90 g/cm³
E_tot: -64.5 eV per cell

abc: 7.137 7.137 5.633
angles: 50.69 50.69 90.00
Fractional coordinates of all 8 atoms:
Sc: 0.500 0.500 0.000
Sc: 0.250 0.750 0.500
Ru: 0.687 0.125 0.250
Ru: 0.063 0.625 0.250
Ru: 0.375 0.313 0.750
Ru: 0.875 0.937 0.750
Fe: 0.000 0.000 0.000
Fe: 0.750 0.250 0.500

---

Record 13
Density functional theory data (GGA-PBE) for a geometry-optimized ScFeRu2 structure.

Computed properties:
Total magnetization: 3.05 μB per formula unit
ΔE_f: -0.020 eV/atom
ρ: 8.42 g/cm³
E_tot: -33.4 eV per cell

abc: 5.126 5.126 5.126
angles: 145.74 127.17 64.49
Last column: magnetic moment on the atom in μB.
Fractional coordinates of all 4 atoms:
Fe: 0.250 0.750 0.500  2.36
Ru: 0.020 0.020 0.000  0.48
Ru: 0.480 0.480 0.000  0.48
Sc: 0.750 0.250 0.500  -0.21

---

Record 14
Density functional theory data (GGA-PBE) for a geometry-optimized ScFe2Ru structure.

Computed properties:
Total magnetization: 3.67 μB per formula unit
ΔE_f: -0.091 eV/atom
ρ: 7.38 g/cm³
E_tot: -65.8 eV per cell

abc: 4.715 3.884 6.335
angles: 90.00 90.00 90.00
Last column: magnetic moment on the atom in μB.
Fractional coordinates of all 8 atoms:
Sc: 0.250 0.500 0.322  -0.11
Sc: 0.750 0.500 0.678  -0.11
Fe: 0.000 0.000 0.000  1.72
Fe: 0.500 0.000 0.000  1.72
Fe: 0.250 0.500 0.888  1.98
Fe: 0.750 0.500 0.112  1.98
Ru: 0.250 0.000 0.625  0.16
Ru: 0.750 0.000 0.375  0.16

---

Record 15
Density functional theory data (GGA-PBE) for a geometry-optimized Sc5FeRu6 structure.

Computed properties:
Total magnetization: 2.41 μB per formula unit
ΔE_f: -0.412 eV/atom
ρ: 7.69 g/cm³
E_tot: -100.7 eV per cell

abc: 4.478 6.372 7.760
angles: 114.24 106.80 90.00
Last column: magnetic moment on the atom in μB.
Fractional coordinates of all 12 atoms:
Sc: 0.665 0.165 0.329  -0.02
Sc: 0.333 0.333 0.666  -0.02
Sc: 0.000 0.500 0.000  -0.01
Sc: 0.667 0.667 0.334  -0.02
Sc: 0.335 0.835 0.671  -0.02
Ru: 0.839 0.595 0.679  -0.01
Ru: 0.839 0.084 0.679  -0.01
Ru: 0.500 0.762 0.000  0.02
Ru: 0.500 0.238 0.000  0.02
Ru: 0.161 0.916 0.321  -0.01
Ru: 0.161 0.405 0.321  -0.01
Fe: 0.000 0.000 0.000  2.62

---

Record 16
Density functional theory data (GGA-PBE) for a geometry-optimized ScFeRu2 structure.

Computed properties:
Total magnetization: 2.69 μB per formula unit
ΔE_f: 0.006 eV/atom
ρ: 8.37 g/cm³
E_tot: -33.3 eV per cell

abc: 3.058 3.058 6.426
angles: 90.00 90.00 90.00
Last column: magnetic moment on the atom in μB.
Fractional coordinates of all 4 atoms:
Fe: 0.500 0.500 0.776  2.40
Ru: 0.000 0.000 0.986  0.54
Ru: 0.500 0.500 0.233  0.01
Sc: 0.000 0.000 0.506  -0.20

---

Record 17
Density functional theory data (GGA-PBE) for a geometry-optimized ScFeRu2 structure.

Computed properties:
Total magnetization: 3.55 μB per formula unit
ΔE_f: -0.007 eV/atom
ρ: 8.37 g/cm³
E_tot: -33.4 eV per cell

abc: 4.248 2.814 5.081
angles: 81.62 90.00 90.00
Last column: magnetic moment on the atom in μB.
Fractional coordinates of all 4 atoms:
Fe: 0.500 0.750 0.750  2.65
Ru: 0.000 0.957 0.980  0.52
Ru: 0.000 0.543 0.520  0.52
Sc: 0.500 0.250 0.250  -0.14

---

Record 18
Density functional theory data (GGA-PBE) for a geometry-optimized ScFeRu2 structure.

Computed properties:
Total magnetization: 2.37 μB per formula unit
ΔE_f: 0.030 eV/atom
ρ: 8.39 g/cm³
E_tot: -33.2 eV per cell

abc: 2.840 3.780 5.589
angles: 90.00 90.00 90.00
Last column: magnetic moment on the atom in μB.
Fractional coordinates of all 4 atoms:
Fe: 0.500 0.500 0.771  2.37
Ru: 0.000 0.000 0.002  0.07
Ru: 0.500 0.500 0.224  0.04
Sc: 0.000 0.000 0.503  -0.11

---

Record 19
Density functional theory data (GGA-PBE) for a geometry-optimized ScFe2Ru structure.

Computed properties:
Total magnetization: 5.12 μB per formula unit
ΔE_f: -0.068 eV/atom
ρ: 7.49 g/cm³
E_tot: -32.8 eV per cell

abc: 3.127 4.187 4.362
angles: 90.00 90.00 90.00
Last column: magnetic moment on the atom in μB.
Fractional coordinates of all 4 atoms:
Fe: 0.000 0.000 0.000  2.67
Fe: 0.500 0.500 0.000  2.39
Ru: 0.500 0.000 0.500  0.39
Sc: 0.000 0.500 0.500  -0.23

---

Record 20
Density functional theory data (GGA-PBE) for a geometry-optimized ScFe2Ru structure.

Computed properties:
Total magnetization: 4.97 μB per formula unit
ΔE_f: 0.037 eV/atom
ρ: 7.42 g/cm³
E_tot: -32.4 eV per cell

abc: 4.258 2.758 5.063
angles: 75.93 90.00 90.00
Last column: magnetic moment on the atom in μB.
Fractional coordinates of all 4 atoms:
Fe: 0.000 0.017 0.018  2.47
Fe: 0.000 0.483 0.482  2.47
Ru: 0.500 0.250 0.250  0.47
Sc: 0.500 0.750 0.750  -0.31

---

Record 21
Density functional theory data (GGA-PBE) for a geometry-optimized ScFe2Ru structure.

Computed properties:
Total magnetization: 4.20 μB per formula unit
ΔE_f: 0.312 eV/atom
ρ: 7.46 g/cm³
E_tot: -31.3 eV per cell

abc: 8.848 8.848 8.848
angles: 17.94 17.94 17.94
Last column: magnetic moment on the atom in μB.
Fractional coordinates of all 4 atoms:
Fe: 0.996 0.996 0.996  2.25
Fe: 0.504 0.504 0.504  2.25
Ru: 0.250 0.250 0.250  0.04
Sc: 0.750 0.750 0.750  -0.25

---

Record 22
Density functional theory data (GGA-PBE) for a geometry-optimized ScFe2Ru structure.

Computed properties:
Total magnetization: 4.39 μB per formula unit
ΔE_f: 0.097 eV/atom
ρ: 7.48 g/cm³
E_tot: -32.1 eV per cell

abc: 2.749 4.013 5.187
angles: 90.00 90.00 90.00
Last column: magnetic moment on the atom in μB.
Fractional coordinates of all 4 atoms:
Fe: 0.000 0.000 0.019  2.26
Fe: 0.000 0.000 0.481  2.26
Ru: 0.500 0.500 0.250  0.10
Sc: 0.500 0.500 0.750  -0.22

---

Record 23
Density functional theory data (GGA-PBE) for a geometry-optimized ScFe2Ru2 structure.

Computed properties:
Total magnetization: 0.00 μB per formula unit
ΔE_f: 0.086 eV/atom
ρ: 8.54 g/cm³
Energy relative to the lowest polymorph listed for this composition: 0.070 eV per atom
E_tot: -82.8 eV per cell

abc: 7.208 7.208 2.684
angles: 90.00 90.00 90.00
Fractional coordinates of all 10 atoms:
Sc: 0.000 0.000 0.000
Sc: 0.500 0.500 0.000
Ru: 0.374 0.874 0.000
Ru: 0.874 0.626 0.000
Ru: 0.626 0.126 0.000
Ru: 0.126 0.374 0.000
Fe: 0.170 0.670 0.500
Fe: 0.670 0.830 0.500
Fe: 0.830 0.330 0.500
Fe: 0.330 0.170 0.500

---

Record 24
Density functional theory data (GGA-PBE) for a geometry-optimized ScFeRu2 structure.

Computed properties:
Total magnetization: 3.35 μB per formula unit
ΔE_f: -0.093 eV/atom
ρ: 8.45 g/cm³
E_tot: -33.7 eV per cell

abc: 5.208 5.208 5.208
angles: 145.43 131.34 61.06
Last column: magnetic moment on the atom in μB.
Fractional coordinates of all 4 atoms:
Fe: 0.241 0.741 0.500  2.75
Ru: 0.002 0.002 0.000  0.28
Ru: 0.757 0.257 0.500  0.46
Sc: 0.500 0.500 0.000  -0.11

---

Record 25
Density functional theory data (GGA-PBE) for a geometry-optimized ScFe2Ru structure.

Computed properties:
Total magnetization: 5.00 μB per formula unit
ΔE_f: -0.150 eV/atom
ρ: 7.48 g/cm³
E_tot: -66.3 eV per cell

abc: 4.207 3.144 8.648
angles: 90.00 90.00 90.00
Last column: magnetic moment on the atom in μB.
Fractional coordinates of all 8 atoms:
Sc: 0.250 0.500 0.635  -0.09
Sc: 0.750 0.500 0.365  -0.09
Fe: 0.250 0.000 0.899  2.47
Fe: 0.750 0.000 0.101  2.47
Fe: 0.250 0.500 0.114  2.57
Fe: 0.750 0.500 0.886  2.57
Ru: 0.250 0.000 0.355  0.10
Ru: 0.750 0.000 0.645  0.10